The following is a PBE calculation of crystalline Dy4As3 at its relaxed geometry, from Alexandria.

abc: 4.096 4.096 13.099
angles: 81.01 81.01 60.00
Element x y z (fractional)
As 0.754 0.754 0.738
As 0.000 0.000 0.000
As 0.246 0.246 0.262
Dy 0.127 0.127 0.619
Dy 0.375 0.375 0.874
Dy 0.873 0.873 0.381
Dy 0.625 0.625 0.126

**Energy of formation**: -1.263 eV per atom
**Space-group type**: No. 166
**DOS(E_F)**: 2.3 states/eV/f.u.